18
Lattice="5.4492 0.0000 0.0000 -2.7246 4.7191 0.0000 0.0000 0.0000 10.3959" Properties=species:S:1:pos:R:3 comment="SrMgVF6 (GGA+U, optimized geometry)" space_group="P-31c, No. 163" e_tot_ev_per_cell=-104.75 pbc="T T T"
Sr 0.0000 0.0000 0.0000
Sr 0.0000 0.0000 5.1979
Mg 0.0000 3.1461 2.5990
Mg 2.7246 1.5730 7.7969
V 2.7246 1.5730 2.5990
V 0.0000 3.1461 7.7969
F 1.6861 3.0565 1.4906
F -0.9206 1.7307 1.4906
F 1.9591 0.0681 6.6886
F 3.6452 2.9885 8.9052
F 0.9206 1.7307 3.7073
F -1.6861 3.0565 3.7073
F 3.4901 0.0681 8.9052
F 0.7655 4.6511 3.7073
F 4.4107 1.6626 6.6886
F -0.7655 4.6511 1.4906
F 1.8040 2.9885 6.6886
F 1.0385 1.6626 8.9052